(1)
{"formula": "ZnInTc2", "functional": "PBE", "state": "relaxed", "lattice_angstrom": [[-3.5420, 1.4010, -0.8214], [-1.3711, -3.6359, -0.2890], [-4.5917, -1.0528, 8.7616]], "species": ["Tc", "In", "Tc", "Zn", "Tc", "Tc", "In", "Zn"], "frac_coords": [[0.1987, 0.6250, 0.2500], [0.7500, 0.2500, 0.5000], [0.3750, 0.4487, 0.7500], [0.2500, 0.7500, 0.5000], [0.8750, 0.8013, 0.7500], [0.5513, 0.1250, 0.2500], [0.0000, 0.0000, 0.0000], [0.5000, 0.5000, 0.0000]], "relative_energy_ev_per_atom": 0.4381, "dos_ef_per_ev_atom": 0.782, "vol_a3_per_atom": 18.1, "ef_ev_per_atom": 0.503}

(2)
{"formula": "TiCoCu", "functional": "PBE", "state": "relaxed", "lattice_angstrom": [[2.5732, 0.0000, 0.0000], [0.0000, 4.1399, 0.0000], [0.0000, -2.0699, 3.5852]], "species": ["Co", "Cu", "Ti"], "frac_coords": [[0.9740, 0.0000, 0.0000], [0.3218, 0.3333, 0.6667], [0.7042, 0.6667, 0.3333]], "relative_energy_ev_per_atom": 0.1628, "dos_ef_per_ev_atom": 0.689, "vol_a3_per_atom": 12.7, "ef_ev_per_atom": -0.101}

(3)
{"formula": "ZrBeCoSi2", "functional": "PBE", "state": "relaxed", "lattice_angstrom": [[-1.8207, 2.7238, 1.6144], [-2.8879, -0.6651, -2.1349], [0.5843, -4.2210, 3.6489]], "species": ["Zr", "Co", "Be", "Si", "Si"], "frac_coords": [[0.0000, 0.0000, 0.0000], [0.2500, 0.7500, 0.5000], [0.7500, 0.2500, 0.5000], [0.3820, 0.3820, 0.7639], [0.6180, 0.6180, 0.2361]], "e_form_raw_mev_per_atom": -668, "dos_ef_per_ev_atom": 0.296, "vol_a3_per_atom": 13.3}

(4)
{"formula": "NaPrPb4", "functional": "PBE", "state": "relaxed", "lattice_angstrom": [[6.4992, 0.0000, 0.0000], [3.2496, 5.6285, 0.0000], [3.2496, 1.8762, 5.3066]], "species": ["Pr", "Pb", "Pb", "Pb", "Pb", "Na"], "frac_coords": [[0.0000, 0.0000, 0.0000], [0.6258, 0.1227, 0.6258], [0.1227, 0.6258, 0.6258], [0.6258, 0.6258, 0.1227], [0.6258, 0.6258, 0.6258], [0.2500, 0.2500, 0.2500]], "vol_a3_per_atom": 32.4, "ef_ev_per_atom": -0.182}

(5)
{"formula": "ZnHgSe2N", "functional": "PBE", "state": "relaxed", "lattice_angstrom": [[-4.3097, 1.6666, -2.8360], [-2.4178, -4.7743, 0.8684], [-1.6870, 1.4787, 3.4327]], "species": ["Hg", "N", "Se", "Se", "Zn"], "frac_coords": [[0.0000, 0.0000, 0.0000], [0.0000, 0.0000, 0.5000], [0.0000, 0.5000, 0.0000], [0.5000, 0.0000, 0.0000], [0.5000, 0.5000, 0.5000]], "e_form_raw_mev_per_atom": 1237, "relative_energy_ev_per_atom": 0.3664, "dos_ef_per_ev_atom": 0.813, "vol_a3_per_atom": 24.1}